This record from Alexandria describes an optimized crystal structure of Tl2CrCl5. The functional is PBE-GGA.

Properties
Volume: 28.35 A^3/atom
Mass density: 4.67 g/cm³
Excess energy over the best structure of this formula in the dataset: 0 meV per atom

abc: 8.7320 8.7320 9.1577
angles: 118.65 118.65 49.94
Fractional coordinates of all 16 atoms:
Tl  0.0089  0.9911  0.5000
Tl  0.6605  0.6862  0.5316
Tl  0.6862  0.6605  0.0316
Tl  0.9911  0.0089  0.0000
Cr  0.3364  0.3382  0.5170
Cr  0.3382  0.3364  0.0170
Cl  0.0742  0.2673  0.8904
Cl  0.1062  0.6764  0.1404
Cl  0.2177  0.4568  0.7671
Cl  0.2673  0.0742  0.3904
Cl  0.4047  0.6026  0.6432
Cl  0.4568  0.2177  0.2671
Cl  0.5708  0.9962  0.8943
Cl  0.6026  0.4047  0.1432
Cl  0.6764  0.1062  0.6404
Cl  0.9962  0.5708  0.3943